(1)
Compound: ZnSiCl2
Source: the Alexandria database
Functional: PBE
Structure: optimized geometry

As for the crystal system: cubic. As for the formation energy from raw total energies: 0.210 eV per atom. For the total energy, the calculation gives -2.3880 eV/atom.

It has space group Fm-3m (No. 225), with a = 6.880 Å, b = 6.880 Å, c = 6.880 Å, α = 90.00°, β = 90.00° and γ = 90.00°. The inequivalent atoms are Zn at (0.000, 0.000, 0.000), Si at (0.000, 0.000, 0.500) and Cl at (0.250, 0.250, 0.250).


(2)
Compound: FeNi4Sn
Source: the Alexandria database
Functional: PBE
Structure: optimized geometry

As for the crystal system: cubic. The calculation puts the formation energy at 28.3 meV/atom. For the total energy, the calculation gives -5.9035 eV/atom.

It has space group F-43m (No. 216), with a = 6.745 Å, b = 6.745 Å, c = 6.745 Å, α = 90.00°, β = 90.00° and γ = 90.00°. The inequivalent atoms are Fe at (0.000, 0.000, 0.000), Ni at (0.126, 0.126, 0.626) and Sn at (0.250, 0.250, 0.250).


(3)
Compound: Mn2CuBr
Source: the Alexandria database
Functional: PBE
Structure: optimized geometry

As for the crystal system: monoclinic. As for the formation energy from raw total energies: 0.281 eV per atom. For the total energy, the calculation gives -5.7457 eV/atom.

It has space group C2/m (No. 12), with a = 7.619 Å, b = 3.259 Å, c = 7.319 Å, α = 90.00°, β = 117.07° and γ = 90.00°. The inequivalent atoms are Mn at (0.131, 0.000, 0.330), Cu at (0.000, 0.500, 0.500) and Br at (0.000, 0.500, 0.000).